Record 1
First-principles (GGA-PBE) data for a relaxed structure of Ca2AgSn2, as listed in Alexandria.

Unit cell a=7.546 b=7.546 c=4.845 alpha=90.00 beta=90.00 gamma=90.00
Fractional positions:
1 Sn 0.359 0.859 0.000
2 Ag 0.000 0.000 0.000
3 Ca 0.835 0.335 0.500
4 Ca 0.165 0.665 0.500
5 Ca 0.665 0.835 0.500
6 Sn 0.141 0.359 0.000
7 Sn 0.859 0.641 0.000
8 Ca 0.335 0.165 0.500
9 Sn 0.641 0.141 0.000
10 Ag 0.500 0.500 0.000

## Properties
Its space group is P4/mbm (127). For the energy of formation from the pure elements, the calculation gives -0.50 eV/atom. The mass density comes out at 5.12 g/cm3. The value obtained for the calculated volume is 137.9 Å³/f.u. For the energy above the lowest structure with this stoichiometry, the calculation gives 68.9 meV/atom.

Record 2
First-principles (GGA-PBE) data for a relaxed structure of Pm3YSb2, as listed in Alexandria.

Unit cell a=4.559 b=4.559 c=8.722 alpha=90.00 beta=90.00 gamma=90.00
Fractional positions:
1 Sb 0.000 0.500 0.277
2 Y 0.500 0.500 0.000
3 Pm 0.500 0.000 0.354
4 Sb 0.500 0.000 0.723
5 Pm 0.000 0.500 0.646
6 Pm 0.000 0.000 0.000

## Properties
The value obtained for the formation energy without anion corrections is -834 meV/atom. Its space group is P-4m2 (115). The mass density comes out at 7.03 g/cm3. The value obtained for the calculated volume is 181.3 Å³/f.u. For the energy above the lowest structure with this stoichiometry, the calculation gives 0.0 meV/atom.

Record 3
First-principles (GGA-PBE) data for a relaxed structure of SrCu2P, as listed in Alexandria.

Unit cell a=4.140 b=4.519 c=4.603 alpha=86.33 beta=90.00 gamma=90.00
Fractional positions:
1 Sr 0.500 0.737 0.746
2 Cu 0.500 0.275 0.254
3 Cu 0.000 0.993 0.214
4 P 0.000 0.495 0.286

## Properties
Its space group is Pm (6). For the energy of formation from the pure elements, the calculation gives -0.35 eV/atom. The mass density comes out at 4.75 g/cm3. The value obtained for the calculated volume is 85.9 Å³/f.u.

Record 4
First-principles (GGA-PBE) data for a relaxed structure of Tb4AsSe2, as listed in Alexandria.

Unit cell a=3.975 b=6.896 c=13.742 alpha=90.00 beta=90.00 gamma=106.75
Fractional positions:
1 As 0.399 0.798 0.250
2 Tb 0.784 0.567 0.127
3 Tb 0.216 0.433 0.873
4 Se 0.141 0.282 0.436
5 Tb 0.943 0.886 0.750
6 Tb 0.500 0.000 0.000
7 Se 0.141 0.282 0.064
8 Se 0.859 0.718 0.564
9 Tb 0.216 0.433 0.627
10 Tb 0.500 0.000 0.500
11 Se 0.859 0.718 0.936
12 Tb 0.057 0.114 0.250
13 Tb 0.784 0.567 0.373
14 As 0.601 0.202 0.750

## Properties
The value obtained for the formation energy without anion corrections is -1391 meV/atom. Its space group is Cmcm (63). The mass density comes out at 8.00 g/cm3. The value obtained for the calculated volume is 180.4 Å³/f.u.

Computed values of size of the total moment (unit: μB/f.u.) for the preceding records, in sequence: 0.0, 0.0, 0.0, 0.0.